A plane-wave DFT calculation with PBE with a Hubbard U was carried out for an optimized crystal structure of NbCoO2.

Properties
Size of the total moment in Bohr magnetons per cell: 10.5
Energy relative to the lowest polymorph listed for this composition in eV/f.u.: 2.85
Crystal system: cubic
E_tot in eV per atom: -6.9011

Cell: 5.4156 5.4156 5.4156 Å, 90.00 90.00 90.00°
With the nearest neighbours (Å) after each atom.
Space group Fm-3m (No. 225)
Inequivalent atoms, fractional coordinates:
1 Nb 0.0000 0.0000 0.0000 (multiplicity 4)  8 O 2.35
2 Co 0.0000 0.0000 0.5000 (multiplicity 4)  8 O 2.35
3 O 0.2500 0.2500 0.2500 (multiplicity 8)  4 Co 2.35, 4 Nb 2.35